1.
RbEr2CuTe3S | OQMD via LeMat-Bulk | PBE | relaxed; crystal system = orthorhombic; theoretical density = 6.32 g/cm3; offset from the most stable computed form = 0 meV/atom; total moment = 0.0 μB/f.u.
1.0
-7.491 1.127 -1.731
5.291 -2.678 5.021
0.478 13.310 6.595
Cu Er Rb S Te
2 4 2 2 6
Direct
0.842 0.158 0.250
0.158 0.842 0.750
0.366 0.634 0.078
0.366 0.634 0.422
0.634 0.366 0.578
0.634 0.366 0.922
0.090 0.910 0.250
0.910 0.090 0.750
0.419 0.581 0.250
0.581 0.419 0.750
0.000 0.000 0.000
0.729 0.271 0.113
0.729 0.271 0.387
0.000 0.000 0.500
0.271 0.729 0.613
0.271 0.729 0.887


2.
RbEr2CuSe4 | OQMD via LeMat-Bulk | PBE | relaxed; crystal system = orthorhombic; total DFT energy (no corrections) = -4.96 eV per atom; theoretical density = 6.33 g/cm3; total moment = 0.0 μB/f.u.
1.0
2.054 -7.118 0.000
2.054 7.118 0.000
0.000 0.000 14.348
Cu Er Rb Se
2 4 2 8
Direct
0.836 0.164 0.250
0.164 0.836 0.750
0.366 0.634 0.064
0.366 0.634 0.436
0.634 0.366 0.564
0.634 0.366 0.936
0.111 0.889 0.250
0.889 0.111 0.750
0.000 0.000 0.000
0.738 0.262 0.108
0.430 0.570 0.250
0.738 0.262 0.392
0.000 0.000 0.500
0.262 0.738 0.608
0.570 0.430 0.750
0.262 0.738 0.892


3.
RbEr2CuTe3Se | OQMD via LeMat-Bulk | PBE | relaxed; crystal system = orthorhombic; total DFT energy (no corrections) = -4.52 eV per atom; theoretical density = 6.42 g/cm3; total moment = 0.0 μB/f.u.
1.0
3.048 5.569 4.417
-5.637 -5.192 -1.041
8.309 -10.535 7.549
Cu Er Rb Se Te
2 4 2 2 6
Direct
0.162 0.838 0.250
0.838 0.162 0.750
0.623 0.377 0.062
0.623 0.377 0.438
0.377 0.623 0.562
0.377 0.623 0.938
0.878 0.122 0.250
0.122 0.878 0.750
0.000 0.000 0.000
0.000 0.000 0.500
0.260 0.740 0.107
0.561 0.439 0.250
0.260 0.740 0.393
0.740 0.260 0.607
0.439 0.561 0.750
0.740 0.260 0.893


4.
RbEr2Cu3Te4Se | OQMD via LeMat-Bulk | PBE | relaxed; crystal system = orthorhombic; total DFT energy (no corrections) = -4.28 eV per atom; theoretical density = 6.80 g/cm3; total moment = 0.0 μB/f.u.
1.0
-3.178 0.435 7.303
-1.032 -1.134 -7.828
2.618 -17.398 2.175
Cu Er Rb Se Te
6 4 2 2 8
Direct
0.085 0.915 0.022
0.835 0.165 0.250
0.085 0.915 0.478
0.915 0.085 0.522
0.165 0.835 0.750
0.915 0.085 0.978
0.307 0.693 0.098
0.307 0.693 0.402
0.693 0.307 0.598
0.693 0.307 0.902
0.569 0.431 0.250
0.431 0.569 0.750
0.256 0.744 0.250
0.744 0.256 0.750
0.665 0.335 0.072
0.945 0.055 0.123
0.945 0.055 0.377
0.665 0.335 0.428
0.335 0.665 0.572
0.055 0.945 0.623
0.055 0.945 0.877
0.335 0.665 0.928


5.
RbErCuTe3 | OQMD via LeMat-Bulk | PBE | relaxed; crystal system = orthorhombic; total DFT energy (no corrections) = -4.02 eV per atom; theoretical density = 5.82 g/cm3; total moment = 0.0 μB/f.u.
1.0
2.543 1.354 -8.205
-5.266 -3.601 5.909
-6.804 8.899 -0.640
Cu Er Rb Te
2 2 2 6
Direct
0.029 0.971 0.250
0.971 0.029 0.750
0.500 0.500 0.000
0.500 0.500 0.500
0.753 0.247 0.250
0.247 0.753 0.750
0.123 0.877 0.064
0.432 0.568 0.250
0.123 0.877 0.436
0.877 0.123 0.564
0.568 0.432 0.750
0.877 0.123 0.936


6.
Rb2Er4Cu4Te9 | OQMD via LeMat-Bulk | PBE | relaxed; crystal system = monoclinic; total DFT energy (no corrections) = -4.28 eV per atom; theoretical density = 6.68 g/cm3; total moment = 0.0 μB/f.u.
1.0
7.667 -2.182 0.000
7.667 2.182 0.000
-5.542 0.000 16.657
Cu Er Rb Te
4 4 2 9
Direct
0.921 0.921 0.024
0.256 0.256 0.266
0.744 0.744 0.734
0.079 0.079 0.976
0.728 0.728 0.100
0.846 0.846 0.443
0.154 0.154 0.557
0.272 0.272 0.900
0.535 0.535 0.274
0.465 0.465 0.726
0.364 0.364 0.079
0.103 0.103 0.130
0.851 0.851 0.273
0.202 0.202 0.398
0.500 0.500 0.500
0.798 0.798 0.602
0.149 0.149 0.727
0.897 0.897 0.870
0.636 0.636 0.921


7.
Er7Cu2S2 | OQMD via LeMat-Bulk | PBE | relaxed; crystal system = orthorhombic; total DFT energy (no corrections) = -5.08 eV per atom; theoretical density = 8.92 g/cm3; total moment = 0.0 μB/f.u.
1.0
-1.904 7.317 4.550
1.904 -7.317 4.550
1.904 7.317 -4.550
Cu Er S
2 7 2
Direct
0.481 0.242 0.239
0.003 0.242 0.761
0.339 0.339 0.000
0.851 0.735 0.115
0.258 0.944 0.314
0.946 0.576 0.370
0.205 0.576 0.630
0.631 0.944 0.686
0.620 0.735 0.885
0.988 0.988 0.000
0.582 0.082 0.500


8.
ErScCuS3 | OQMD via LeMat-Bulk | PBE | relaxed; crystal system = orthorhombic; total DFT energy (no corrections) = -5.98 eV per atom; theoretical density = 5.67 g/cm3; total moment = 0.0 μB/f.u.
1.0
-1.105 3.594 -5.218
0.585 -0.164 6.402
9.455 1.716 -0.820
Cu Er S Sc
2 2 6 2
Direct
0.982 0.018 0.250
0.018 0.982 0.750
0.270 0.730 0.250
0.730 0.270 0.750
0.859 0.141 0.070
0.599 0.401 0.250
0.859 0.141 0.430
0.141 0.859 0.570
0.401 0.599 0.750
0.141 0.859 0.930
0.500 0.500 0.000
0.500 0.500 0.500